A plane-wave DFT calculation with PBE-GGA was carried out for LaNi2P after structural relaxation.

a b c (Å): 3.8299 4.2134 4.2103
angles (deg): 90.00 90.00 90.00
Fractional positions:
Ni1 0.0000 0.5000 0.5000
Ni2 0.0000 0.0000 0.0000
P1 0.5000 0.5000 0.0000
La1 0.5000 0.0000 0.5000

Properties
DFT formation energy, meV per atom: -163